(1)
VASP calculation (PBE) on a geometry-optimized KIn2Pb2 structure. Values from VASP.

Cell and atoms, written as Quantum ESPRESSO input:
```
&SYSTEM
  ibrav = 0, nat = 10, ntyp = 3
/
ATOMIC_SPECIES
In 114.82 In.upf
K 39.10 K.upf
Pb 207.20 Pb.upf
CELL_PARAMETERS angstrom
5.300 0.000 0.000
0.000 5.300 0.000
0.000 0.000 12.417
ATOMIC_POSITIONS crystal
In 0.500 0.500 0.500
In 0.000 0.500 0.131
K 0.500 0.000 0.251
In 0.000 0.000 0.500
Pb 0.000 0.000 0.000
Pb 0.000 0.500 0.370
Pb 0.500 0.000 0.630
K 0.000 0.500 0.749
In 0.500 0.000 0.869
Pb 0.500 0.500 0.000
```

calculated volume	174.4	Å³/f.u.
formation energy from the elements	-0.09	eV/atom
total moment	0.0	μB/f.u.
energy relative to the lowest polymorph listed for this composition	0.12	eV/f.u.


(2)
VASP calculation (PBE) on a geometry-optimized K5InPb8 structure. Values from VASP.

Cell and atoms, written as Quantum ESPRESSO input:
```
&SYSTEM
  ibrav = 0, nat = 14, ntyp = 3
/
ATOMIC_SPECIES
K 39.10 K.upf
Pb 207.20 Pb.upf
In 114.82 In.upf
CELL_PARAMETERS angstrom
-11.589 5.723 -3.644
-13.408 -0.338 -0.662
-11.920 5.214 3.325
ATOMIC_POSITIONS crystal
K 0.779 0.779 0.779
Pb 0.252 0.775 0.775
Pb 0.129 0.129 0.129
Pb 0.225 0.748 0.225
Pb 0.225 0.225 0.748
Pb 0.775 0.775 0.252
K 0.500 0.500 0.500
In 0.000 0.000 0.000
Pb 0.775 0.252 0.775
Pb 0.748 0.225 0.225
K 0.681 0.681 0.681
K 0.319 0.319 0.319
Pb 0.871 0.871 0.871
K 0.221 0.221 0.221
```

calculated volume	542.8	Å³/f.u.
formation energy from the elements	-0.18	eV/atom
total moment	0.0	μB/f.u.


(3)
VASP calculation (PBE) on a geometry-optimized KIn2Pb structure. Values from VASP.

Cell and atoms, written as Quantum ESPRESSO input:
```
&SYSTEM
  ibrav = 0, nat = 8, ntyp = 3
/
ATOMIC_SPECIES
In 114.82 In.upf
K 39.10 K.upf
Pb 207.20 Pb.upf
CELL_PARAMETERS angstrom
5.492 0.000 0.000
0.000 5.492 0.000
2.746 2.746 10.751
ATOMIC_POSITIONS crystal
In 0.875 0.021 0.750
K 0.500 0.500 0.000
Pb 0.000 0.000 0.000
In 0.979 0.625 0.250
In 0.771 0.125 0.250
In 0.375 0.229 0.750
K 0.250 0.750 0.500
Pb 0.750 0.250 0.500
```

calculated volume	162.1	Å³/f.u.
formation energy from the elements	0.09	eV/atom
total moment	0.0	μB/f.u.


(4)
VASP calculation (PBE) on a geometry-optimized KIn2Pb structure. Values from VASP.

Cell and atoms, written as Quantum ESPRESSO input:
```
&SYSTEM
  ibrav = 0, nat = 4, ntyp = 3
/
ATOMIC_SPECIES
In 114.82 In.upf
K 39.10 K.upf
Pb 207.20 Pb.upf
CELL_PARAMETERS angstrom
-5.861 0.292 0.794
-2.196 -0.475 -5.479
3.896 -3.541 2.711
ATOMIC_POSITIONS crystal
In 0.500 0.500 0.000
K 0.750 0.250 0.500
In 0.000 0.000 0.000
Pb 0.250 0.750 0.500
```

calculated volume	124.4	Å³/f.u.
formation energy from the elements	-0.03	eV/atom
total moment	0.0	μB/f.u.


(5)
VASP calculation (PBE) on a geometry-optimized K2In2Pb structure. Values from VASP.

Cell and atoms, written as Quantum ESPRESSO input:
```
&SYSTEM
  ibrav = 0, nat = 5, ntyp = 3
/
ATOMIC_SPECIES
In 114.82 In.upf
K 39.10 K.upf
Pb 207.20 Pb.upf
CELL_PARAMETERS angstrom
4.756 0.000 0.000
0.000 4.756 0.000
2.378 2.378 8.042
ATOMIC_POSITIONS crystal
In 0.412 0.412 0.176
In 0.588 0.588 0.824
K 0.250 0.750 0.500
Pb 0.000 0.000 0.000
K 0.750 0.250 0.500
```

calculated volume	181.9	Å³/f.u.
formation energy from the elements	0.15	eV/atom
total moment	0.0	μB/f.u.
energy relative to the lowest polymorph listed for this composition	1.13	eV/f.u.


(6)
VASP calculation (PBE) on a geometry-optimized K2InPb3 structure. Values from VASP.

Cell and atoms, written as Quantum ESPRESSO input:
```
&SYSTEM
  ibrav = 0, nat = 6, ntyp = 3
/
ATOMIC_SPECIES
Pb 207.20 Pb.upf
In 114.82 In.upf
K 39.10 K.upf
CELL_PARAMETERS angstrom
-4.337 3.296 -0.416
-5.993 -3.343 0.113
-2.646 1.809 6.038
ATOMIC_POSITIONS crystal
Pb 0.161 0.769 0.909
Pb 0.849 0.587 0.716
In 0.160 0.411 0.269
Pb 0.832 0.235 0.102
K 0.561 0.184 0.693
K 0.437 0.814 0.312
```

calculated volume	214.9	Å³/f.u.
formation energy from the elements	-0.14	eV/atom
total moment	0.0	μB/f.u.


Computed values of total DFT energy (no corrections) (unit: eV for the cell shown) for the preceding records, in sequence: -28.88 -40.37 -19.82 -10.41 -10.63 -16.92.